Entry 1:
Compound: BaMgBr2
Source: Alexandria
Functional: SCAN
Structure: PBEsol geometry

Properties
* electronic total energy: -176.9 eV/cell
* formation energy (no corrections): -1256 meV per atom
* relative energy among the computed polymorphs: 37 kJ/mol of formula units
* space-group type: I-42d (122)
* total magnetization: 0.0 μB/cell

```
data_BaMgBr2
_space_group_name_H-M_alt 'P 1'
_space_group_IT_number 1
_cell_length_a 7.393
_cell_length_b 7.393
_cell_length_c 7.393
_cell_angle_alpha 105.92
_cell_angle_beta 105.92
_cell_angle_gamma 116.83
loop_
_space_group_symop_operation_xyz
'x,y,z'
loop_
_atom_site_label
_atom_site_fract_x
_atom_site_fract_y
_atom_site_fract_z
Ba1 0.250 0.750 0.500
Br1 0.125 0.100 0.475
Br2 0.350 0.875 0.975
Mg1 0.500 0.500 0.000
Mg2 0.750 0.250 0.500
Ba2 0.000 0.000 0.000
Br3 0.900 0.375 0.025
Br4 0.625 0.650 0.525
```


Entry 2:
Compound: BaMgBr2
Source: Alexandria
Functional: SCAN
Structure: PBEsol geometry

Properties
* electronic total energy: -88.9 eV/cell
* formation energy (no corrections): -1352 meV per atom
* relative energy among the computed polymorphs: 0 kJ/mol of formula units
* space-group type: I4/mmm (139)
* total magnetization: 0.0 μB/cell

```
data_BaMgBr2
_space_group_name_H-M_alt 'P 1'
_space_group_IT_number 1
_cell_length_a 5.620
_cell_length_b 5.609
_cell_length_c 5.620
_cell_angle_alpha 59.94
_cell_angle_beta 90.00
_cell_angle_gamma 120.06
loop_
_space_group_symop_operation_xyz
'x,y,z'
loop_
_atom_site_label
_atom_site_fract_x
_atom_site_fract_y
_atom_site_fract_z
Mg1 0.000 0.000 0.000
Br1 0.750 0.500 0.750
Ba1 0.500 0.000 0.500
Br2 0.250 0.500 0.250
```


Entry 3:
Compound: BaMg2Br
Source: Alexandria
Functional: SCAN
Structure: PBEsol geometry

Properties
* electronic total energy: -69.3 eV/cell
* formation energy (no corrections): -90 meV per atom
* relative energy among the computed polymorphs: 185 kJ/mol of formula units
* space-group type: Fm-3m (225)
* total magnetization: 0.0 μB/cell

```
data_BaMg2Br
_space_group_name_H-M_alt 'P 1'
_space_group_IT_number 1
_cell_length_a 5.720
_cell_length_b 5.720
_cell_length_c 5.720
_cell_angle_alpha 60.00
_cell_angle_beta 60.00
_cell_angle_gamma 60.00
loop_
_space_group_symop_operation_xyz
'x,y,z'
loop_
_atom_site_label
_atom_site_fract_x
_atom_site_fract_y
_atom_site_fract_z
Mg1 0.250 0.250 0.250
Mg2 0.750 0.750 0.750
Br1 0.500 0.500 0.500
Ba1 0.000 0.000 0.000
```


Entry 4:
Compound: BaMg2Br
Source: Alexandria
Functional: SCAN
Structure: PBEsol geometry

Properties
* electronic total energy: -71.2 eV/cell
* formation energy (no corrections): -570 meV per atom
* relative energy among the computed polymorphs: 0 kJ/mol of formula units
* space-group type: P4/mmm (123)
* total magnetization: 0.0 μB/cell

```
data_BaMg2Br
_space_group_name_H-M_alt 'P 1'
_space_group_IT_number 1
_cell_length_a 4.524
_cell_length_b 4.524
_cell_length_c 6.438
_cell_angle_alpha 90.00
_cell_angle_beta 90.00
_cell_angle_gamma 90.00
loop_
_space_group_symop_operation_xyz
'x,y,z'
loop_
_atom_site_label
_atom_site_fract_x
_atom_site_fract_y
_atom_site_fract_z
Br1 0.000 0.000 0.500
Mg1 0.500 0.000 0.000
Ba1 0.500 0.500 0.500
Mg2 0.000 0.500 0.000
```